Record 1
An optimized crystal structure of TaZn2Rh. Source: the Alexandria database, functional PBE-GGA.

Values from the calculation:
space group = R-3m
crystal system = trigonal
electronic total energy = -5.47 eV per atom
total magnetization = 0.251 μB/f.u.
formation enthalpy at 0 K = -0.04 eV/atom

a b c (Å): 2.853 2.853 26.444
angles (deg): 90.00 90.00 120.00
Positions (direct):
Ta 0.000 0.000 0.000
Ta 0.333 0.667 0.667
Ta 0.667 0.333 0.333
Zn 0.000 0.000 0.244
Zn 0.000 0.000 0.756
Zn 0.333 0.667 0.423
Zn 0.333 0.667 0.910
Zn 0.667 0.333 0.090
Zn 0.667 0.333 0.577
Rh 0.000 0.000 0.500
Rh 0.333 0.667 0.167
Rh 0.667 0.333 0.833

---

Record 2
An optimized crystal structure of ErZnIn. Source: the Alexandria database, functional PBE-GGA.

Values from the calculation:
space group = Cmcm
crystal system = orthorhombic
electronic total energy = -3.23 eV per atom
total magnetization = 0.000 μB/f.u.
formation enthalpy at 0 K = -0.37 eV/atom

a b c (Å): 4.317 10.352 6.025
angles (deg): 90.00 90.00 90.00
Positions (direct):
Er 0.000 0.196 0.250
Er 0.000 0.804 0.750
Er 0.500 0.304 0.750
Er 0.500 0.696 0.250
Zn 0.000 0.114 0.750
Zn 0.000 0.886 0.250
Zn 0.500 0.386 0.250
Zn 0.500 0.614 0.750
In 0.000 0.500 0.000
In 0.000 0.500 0.500
In 0.500 0.000 0.000
In 0.500 0.000 0.500

---

Record 3
An optimized crystal structure of Li2CaAcSb2. Source: the Alexandria database, functional PBE-GGA.

Values from the calculation:
space group = P-3m1
formation energy (no corrections) = -5.40 eV/f.u.
crystal system = trigonal
electronic total energy = -3.93 eV per atom
total magnetization = 0.000 μB/f.u.

a b c (Å): 4.772 4.772 8.021
angles (deg): 90.00 90.00 120.00
Positions (direct):
Li 0.333 0.667 0.199
Li 0.667 0.333 0.801
Ca 0.000 0.000 0.000
Ac 0.000 0.000 0.500
Sb 0.333 0.667 0.767
Sb 0.667 0.333 0.233

---

Record 4
An optimized crystal structure of CaAlTe2. Source: the Alexandria database, functional PBE-GGA.

Values from the calculation:
space group = Amm2
formation energy (no corrections) = -3.39 eV/f.u.
crystal system = orthorhombic
electronic total energy = -3.86 eV per atom
total magnetization = 0.000 μB/f.u.

a b c (Å): 4.225 4.124 13.441
angles (deg): 90.00 90.00 90.00
Positions (direct):
Ca 0.000 0.000 0.000
Ca 0.000 0.500 0.500
Al 0.500 0.000 0.223
Al 0.500 0.500 0.723
Te 0.000 0.000 0.690
Te 0.000 0.500 0.190
Te 0.500 0.000 0.422
Te 0.500 0.500 0.922